Run a
Entry from Alexandria: a geometry-optimized Pm3Al4Au4 structure (PBE).

```
data_Pm3Al4Au4
_chemical_formula_sum 'Pm3 Al4 Au4'
_cell_length_a 4.520
_cell_length_b 4.113
_cell_length_c 13.450
_cell_angle_alpha 98.80
_cell_angle_beta 99.67
_cell_angle_gamma 90.00
_symmetry_space_group_name_H-M 'P 1'
_symmetry_Int_Tables_number 1
_symmetry_space_group_name_Hall 'P 1'
loop_
_atom_site_label
_atom_site_type_symbol
_atom_site_fract_x
_atom_site_fract_y
_atom_site_fract_z
Au1 Au 0.097 0.597 0.194
Au2 Au 0.254 0.254 0.508
Au3 Au 0.746 0.746 0.492
Au4 Au 0.903 0.403 0.806
Al1 Al 0.450 0.450 0.900
Al2 Al 0.550 0.550 0.100
Al3 Al 0.806 0.306 0.612
Al4 Al 0.194 0.694 0.388
Pm1 Pm 0.000 0.000 0.000
Pm2 Pm 0.352 0.852 0.703
Pm3 Pm 0.648 0.148 0.297
```

## Properties
DOS at the Fermi energy: 8.51 states/eV/f.u.
space-group type: Immm, No. 71

---

Run b
Entry from Alexandria: a geometry-optimized Pm3Al4Au4 structure (PBE).

```
data_Pm3Al4Au4
_chemical_formula_sum 'Pm3 Al4 Au4'
_cell_length_a 6.832
_cell_length_b 6.832
_cell_length_c 6.832
_cell_angle_alpha 109.47
_cell_angle_beta 109.47
_cell_angle_gamma 109.47
_symmetry_space_group_name_H-M 'P 1'
_symmetry_Int_Tables_number 1
_symmetry_space_group_name_Hall 'P 1'
loop_
_atom_site_label
_atom_site_type_symbol
_atom_site_fract_x
_atom_site_fract_y
_atom_site_fract_z
Au1 Au 0.375 0.375 0.375
Au2 Au 0.000 0.000 0.625
Au3 Au 0.625 0.000 0.000
Au4 Au 0.000 0.625 0.000
Pm1 Pm 0.500 0.000 0.500
Pm2 Pm 0.000 0.500 0.500
Pm3 Pm 0.500 0.500 0.000
Al1 Al 0.733 0.733 0.733
Al2 Al 0.267 0.000 0.000
Al3 Al 0.000 0.267 0.000
Al4 Al 0.000 0.000 0.267
```

## Properties
DOS at the Fermi energy: 5.94 states/eV/f.u.
space-group type: I-43m, No. 217

---

Name the most stable of them. run a.

---

Run a
Entry from Alexandria: a geometry-optimized PmYAlAu structure (PBE).

```
data_PmYAlAu
_chemical_formula_sum 'Pm1 Y1 Al1 Au1'
_cell_length_a 3.841
_cell_length_b 4.567
_cell_length_c 6.081
_cell_angle_alpha 90.00
_cell_angle_beta 108.41
_cell_angle_gamma 90.00
_symmetry_space_group_name_H-M 'P 1'
_symmetry_Int_Tables_number 1
_symmetry_space_group_name_Hall 'P 1'
loop_
_atom_site_label
_atom_site_type_symbol
_atom_site_fract_x
_atom_site_fract_y
_atom_site_fract_z
Au1 Au 0.431 0.000 0.862
Y1 Y 0.146 0.000 0.293
Pm1 Pm 0.849 0.500 0.697
Al1 Al 0.574 0.500 0.148
```

## Properties
DOS at the Fermi energy: 3.94 states/eV/f.u.
space-group type: Amm2, No. 38

---

Run b
Entry from Alexandria: a geometry-optimized PmYAlAu structure (PBE).

```
data_PmYAlAu
_chemical_formula_sum 'Pm1 Y1 Al1 Au1'
_cell_length_a 5.207
_cell_length_b 5.207
_cell_length_c 5.207
_cell_angle_alpha 60.00
_cell_angle_beta 60.00
_cell_angle_gamma 60.00
_symmetry_space_group_name_H-M 'P 1'
_symmetry_Int_Tables_number 1
_symmetry_space_group_name_Hall 'P 1'
loop_
_atom_site_label
_atom_site_type_symbol
_atom_site_fract_x
_atom_site_fract_y
_atom_site_fract_z
Y1 Y 0.750 0.750 0.750
Pm1 Pm 0.250 0.250 0.250
Al1 Al 0.500 0.500 0.500
Au1 Au 0.000 0.000 0.000
```

## Properties
DOS at the Fermi energy: 3.94 states/eV/f.u.
space-group type: F-43m, No. 216

---

Name the most stable of them. run a.